Entry from Alexandria via LeMat-Bulk: a geometry-optimized Pm3IrSeBr structure (PBE).

Results
The calculated volume is 329.2 Å³/cell. The formation energy from raw total energies comes out at -6.07 eV per formula unit.

Unit cell a=4.0946 b=8.6757 c=9.5575 alpha=104.14 beta=90.00 gamma=90.00
Closest atoms and distances in Å follow each position.
Atoms (fractional coordinates):
Pm (0.7500, 0.8865, 0.1012)  1 Br 2.84, 2 Ir 2.87, 1 Se 3.07
Pm (0.2500, 0.1135, 0.8988)  1 Br 2.84, 2 Ir 2.87, 1 Se 3.07
Pm (0.2500, 0.7012, 0.5035)  2 Br 2.92, 2 Se 3.22, 1 Ir 3.23
Pm (0.7500, 0.2988, 0.4965)  2 Br 2.92, 2 Se 3.22, 1 Ir 3.23
Pm (0.7500, 0.4439, 0.1444)  3 Ir 2.85-2.87
Pm (0.2500, 0.5561, 0.8556)  3 Ir 2.85-2.87
Ir (0.2500, 0.6799, 0.1609)  5 Pm 2.85-2.87
Ir (0.7500, 0.3201, 0.8391)  5 Pm 2.85-2.87
Se (0.2500, 0.1908, 0.2301)  7 Pm 3.07-3.33
Se (0.7500, 0.8092, 0.7699)  7 Pm 3.07-3.33
Br (0.2500, 0.1150, 0.6015)  3 Pm 2.84-2.92, 2 Br 3.17
Br (0.7500, 0.8850, 0.3985)  3 Pm 2.84-2.92, 2 Br 3.17

***

Entry from Alexandria via LeMat-Bulk: a geometry-optimized Pm8Ir3SeBr4 structure (PBE).

Results
The calculated volume is 467.5 Å³/cell. The formation energy from raw total energies comes out at -18.94 eV per formula unit.

Unit cell a=8.4217 b=9.0346 c=8.4212 alpha=117.80 beta=120.00 gamma=90.00
Closest atoms and distances in Å follow each position.
Atoms (fractional coordinates):
Pm (0.2430, 0.6988, 0.9560)  2 Ir 2.80, 1 Se 2.99
Pm (0.2430, 0.6988, 0.4860)  2 Ir 2.80, 1 Se 2.99
Pm (0.2687, 0.3065, 0.5375)  3 Ir 2.84
Pm (0.7130, 0.6988, 0.9560)  2 Ir 2.80, 1 Se 2.99
Pm (0.2870, 0.3012, 0.0440)  2 Ir 2.80, 1 Se 2.99
Pm (0.7313, 0.6935, 0.4625)  3 Ir 2.84
Pm (0.7570, 0.3012, 0.5140)  2 Ir 2.80, 1 Se 2.99
Pm (0.7570, 0.3012, 0.0440)  2 Ir 2.80, 1 Se 2.99
Ir (0.5000, 0.5000, 0.0000)  6 Pm 2.80-2.84
Ir (0.5000, 0.5000, 0.5000)  6 Pm 2.80-2.84
Ir (0.0000, 0.5000, 0.5000)  6 Pm 2.80-2.84
Se (0.0000, 0.5000, 0.0000)  6 Pm 2.99
Br (0.5000, 0.0000, 0.0000)  6 Pm 3.24
Br (0.5000, 0.0000, 0.5000)  6 Pm 3.37-3.40
Br (0.0000, 0.0000, 0.0000)  6 Pm 3.37-3.40
Br (0.0000, 0.0000, 0.5000)  6 Pm 3.37-3.40

***

Entry from Alexandria via LeMat-Bulk: a geometry-optimized Pm6SiIr2Br3 structure (PBE).

Results
The calculated volume is 347.4 Å³/cell. The formation energy from raw total energies comes out at -12.90 eV per formula unit.

Unit cell a=4.1646 b=9.0494 c=9.9472 alpha=108.18 beta=102.08 gamma=90.00
Closest atoms and distances in Å follow each position.
Atoms (fractional coordinates):
Pm (0.3410, 0.8740, 0.6820)  2 Ir 2.81, 1 Si 2.94
Pm (0.6782, 0.5589, 0.3564)  3 Ir 2.82-2.83
Pm (0.6590, 0.1260, 0.3180)  2 Ir 2.81, 1 Si 2.94
Pm (0.0180, 0.2352, 0.0361)  1 Ir 2.78, 2 Si 2.92
Pm (0.9820, 0.7648, 0.9639)  1 Ir 2.78, 2 Si 2.92
Pm (0.3218, 0.4411, 0.6436)  3 Ir 2.82-2.83
Si (0.5000, 0.0000, 0.0000)  6 Pm 2.92-2.94
Ir (0.8313, 0.6590, 0.6626)  6 Pm 2.78-2.83
Ir (0.1687, 0.3410, 0.3374)  6 Pm 2.78-2.83
Br (0.5000, 0.5000, 0.0000)  6 Pm 3.28-3.34
Br (0.8402, 0.1577, 0.6804)  6 Pm 3.30-3.44
Br (0.1598, 0.8423, 0.3196)  6 Pm 3.30-3.44

***

Entry from Alexandria via LeMat-Bulk: a geometry-optimized Pm8SiIr3Br4 structure (PBE).

Results
The calculated volume is 464.1 Å³/cell. The formation energy from raw total energies comes out at -16.85 eV per formula unit.

Unit cell a=8.3789 b=9.0402 c=8.3773 alpha=117.62 beta=120.01 gamma=90.00
Closest atoms and distances in Å follow each position.
Atoms (fractional coordinates):
Pm (0.2379, 0.6968, 0.9590)  2 Ir 2.81, 1 Si 2.92
Pm (0.2380, 0.6969, 0.4759)  2 Ir 2.81, 1 Si 2.92
Pm (0.2672, 0.3019, 0.5344)  3 Ir 2.85
Pm (0.7211, 0.6968, 0.9590)  2 Ir 2.81, 1 Si 2.92
Pm (0.2789, 0.3032, 0.0410)  2 Ir 2.81, 1 Si 2.92
Pm (0.7328, 0.6981, 0.4656)  3 Ir 2.85
Pm (0.7620, 0.3031, 0.5241)  2 Ir 2.81, 1 Si 2.92
Pm (0.7621, 0.3032, 0.0410)  2 Ir 2.81, 1 Si 2.92
Si (0.0000, 0.5000, 0.0000)  6 Pm 2.92
Ir (0.5000, 0.5000, 0.0000)  6 Pm 2.81-2.85
Ir (0.5000, 0.5000, 0.5000)  6 Pm 2.81-2.85
Ir (0.0000, 0.5000, 0.5000)  6 Pm 2.81-2.85
Br (0.5000, 0.0000, 0.0000)  6 Pm 3.29
Br (0.5000, 0.0000, 0.5000)  6 Pm 3.34-3.38
Br (0.0000, 0.0000, 0.0000)  6 Pm 3.34-3.38
Br (0.0000, 0.0000, 0.5000)  6 Pm 3.34-3.38

***

Entry from Alexandria via LeMat-Bulk: a geometry-optimized Pm4SiIrBr2 structure (PBE).

Results
The calculated volume is 231.7 Å³/cell. The formation energy from raw total energies comes out at -8.30 eV per formula unit.

Unit cell a=4.1401 b=7.7965 c=7.5102 alpha=72.88 beta=90.00 gamma=90.00
Closest atoms and distances in Å follow each position.
Atoms (fractional coordinates):
Pm (0.0000, 0.6983, 0.7758)  2 Ir 2.82, 1 Si 2.93
Pm (0.0000, 0.3017, 0.2242)  2 Ir 2.82, 1 Si 2.93
Pm (0.5000, 0.7013, 0.2540)  1 Ir 2.80, 2 Si 2.91
Pm (0.5000, 0.2987, 0.7460)  1 Ir 2.80, 2 Si 2.91
Si (0.0000, 0.5000, 0.5000)  6 Pm 2.91-2.93
Ir (0.5000, 0.5000, 0.0000)  6 Pm 2.80-2.82
Br (0.0000, 0.0000, 0.0000)  6 Pm 3.27-3.28
Br (0.5000, 0.0000, 0.5000)  6 Pm 3.35-3.37

***

Entry from Alexandria via LeMat-Bulk: a geometry-optimized Pm6Si2IrBr3 structure (PBE).

Results
The calculated volume is 342.7 Å³/cell. The formation energy from raw total energies comes out at -12.60 eV per formula unit.

Unit cell a=4.1742 b=8.9582 c=9.7406 alpha=105.20 beta=102.37 gamma=90.00
Closest atoms and distances in Å follow each position.
Atoms (fractional coordinates):
Pm (0.3474, 0.8936, 0.6949)  1 Ir 2.80, 2 Si 2.91
Pm (0.6760, 0.5646, 0.3520)  3 Si 2.88-2.90, 2 Br 3.20
Pm (0.6526, 0.1064, 0.3051)  1 Ir 2.80, 2 Si 2.91
Pm (0.0074, 0.2185, 0.0148)  2 Ir 2.84, 1 Si 2.92
Pm (0.9926, 0.7815, 0.9852)  2 Ir 2.84, 1 Si 2.92
Pm (0.3240, 0.4354, 0.6480)  3 Si 2.88-2.90, 2 Br 3.20
Si (0.8342, 0.6613, 0.6685)  6 Pm 2.88-2.92
Si (0.1658, 0.3387, 0.3315)  6 Pm 2.88-2.92
Ir (0.5000, 0.0000, 0.0000)  6 Pm 2.80-2.84
Br (0.5000, 0.5000, 0.0000)  6 Pm 3.24-3.31
Br (0.8264, 0.1654, 0.6528)  6 Pm 3.20-3.35
Br (0.1736, 0.8346, 0.3472)  6 Pm 3.20-3.35